Li4Mg5Ag | PBE-GGA | optimized geometry

Summary:
Relative energy among the computed polymorphs in meV/atom: 0.0
Calculated volume in Å³/cell: 196.7
Energy in eV/f.u.: -19.53
SG: P4/mmm

```
10
Lattice="-3.012 -1.563 0.583 1.668 -2.812 1.079 -0.064 5.908 15.504" Properties=species:S:1:pos:R:3 pbc="T T T"
Li -0.013 1.160 3.044
Li -0.052 4.748 12.460
Li -0.026 2.358 6.188
Li -0.039 3.550 9.316
Mg -0.678 -1.628 2.298
Mg -0.704 0.766 8.583
Mg -0.730 3.161 14.867
Mg -0.717 1.957 11.709
Mg -0.691 -0.425 5.457
Ag 0.000 0.000 0.000
```